# CaCo2As, relaxed, DFT PBE
# - calculated total energy (eV/atom) = -5.30
# - crystal system = monoclinic
# - energy of formation from the pure elements (eV/atom) = -0.085
data_CaCo2As
_symmetry_space_group_name_H-M 'P 1'
_symmetry_Int_Tables_number 1
_symmetry_space_group_name_Hall 'P 1'
_cell_length_a 3.711
_cell_length_b 3.698
_cell_length_c 5.247
_cell_angle_alpha 90.00
_cell_angle_beta 90.15
_cell_angle_gamma 90.00
loop_
_atom_site_label
_atom_site_type_symbol
_atom_site_fract_x
_atom_site_fract_y
_atom_site_fract_z
Ca1 Ca 0.000 0.000 0.000
Co1 Co 0.002 0.500 0.549
Co2 Co 0.500 0.000 0.550
As1 As 0.501 0.500 0.298

=====

# Ca2PrSc, relaxed, DFT PBE
# - calculated total energy (eV/atom) = -3.58
# - crystal system = cubic
# - energy of formation from the pure elements (eV/atom) = 0.198
data_Ca2PrSc
_symmetry_space_group_name_H-M 'P 1'
_symmetry_Int_Tables_number 1
_symmetry_space_group_name_Hall 'P 1'
_cell_length_a 5.797
_cell_length_b 5.797
_cell_length_c 5.797
_cell_angle_alpha 60.00
_cell_angle_beta 60.00
_cell_angle_gamma 60.00
loop_
_atom_site_label
_atom_site_type_symbol
_atom_site_fract_x
_atom_site_fract_y
_atom_site_fract_z
Ca1 Ca 0.250 0.250 0.250
Ca2 Ca 0.750 0.750 0.750
Pr1 Pr 0.000 0.000 0.000
Sc1 Sc 0.500 0.500 0.500